MgNbFe2O6: relaxed, PBE with a Hubbard U.

Cell lengths 5.219, 5.225, 5.605 Å; angles 90.95, 116.89, 119.63 degrees
Element x y z (fractional)
Mg (0.000, 0.000, 0.000)
Nb (0.005, 0.500, 0.510)
Fe (0.422, 0.708, 0.132)
Fe (0.426, 0.211, 0.639)
O (0.197, 0.786, 0.324)
O (0.211, 0.909, 0.804)
O (0.506, 0.594, 0.814)
O (0.535, 0.394, 0.326)
O (0.893, 0.296, 0.803)
O (0.935, 0.132, 0.327)


Mg30NbFeO32: relaxed, PBE with a Hubbard U.

Cell lengths 8.563, 8.563, 8.544 Å; angles 90.00, 90.00, 90.00 degrees
Element x y z (fractional)
Mg (0.000, 0.000, 0.000)
Mg (0.000, 0.251, 0.250)
Mg (0.000, 0.251, 0.750)
Mg (0.000, 0.500, 0.000)
Mg (0.000, 0.500, 0.500)
Mg (0.000, 0.749, 0.250)
Mg (0.000, 0.749, 0.750)
Mg (0.248, 0.248, 0.500)
Mg (0.248, 0.500, 0.248)
Mg (0.248, 0.500, 0.752)
Mg (0.248, 0.752, 0.500)
Mg (0.250, 0.250, 0.000)
Mg (0.250, 0.750, 0.000)
Mg (0.251, 0.000, 0.250)
Mg (0.251, 0.000, 0.750)
Mg (0.500, 0.000, 0.000)
Mg (0.500, 0.000, 0.500)
Mg (0.500, 0.248, 0.248)
Mg (0.500, 0.248, 0.752)
Mg (0.500, 0.500, 0.000)
Mg (0.500, 0.752, 0.248)
Mg (0.500, 0.752, 0.752)
Mg (0.749, 0.000, 0.250)
Mg (0.749, 0.000, 0.750)
Mg (0.750, 0.250, 0.000)
Mg (0.750, 0.750, 0.000)
Mg (0.752, 0.248, 0.500)
Mg (0.752, 0.500, 0.248)
Mg (0.752, 0.500, 0.752)
Mg (0.752, 0.752, 0.500)
Nb (0.500, 0.500, 0.500)
Fe (0.000, 0.000, 0.500)
O (0.000, 0.000, 0.249)
O (0.000, 0.000, 0.751)
O (0.000, 0.249, 0.000)
O (0.000, 0.255, 0.500)
O (0.000, 0.500, 0.247)
O (0.000, 0.500, 0.753)
O (0.000, 0.745, 0.500)
O (0.000, 0.751, 0.000)
O (0.238, 0.500, 0.500)
O (0.248, 0.500, 0.000)
O (0.249, 0.000, 0.000)
O (0.250, 0.250, 0.250)
O (0.250, 0.250, 0.750)
O (0.250, 0.750, 0.250)
O (0.250, 0.750, 0.750)
O (0.255, 0.000, 0.500)
O (0.500, 0.000, 0.247)
O (0.500, 0.000, 0.753)
O (0.500, 0.238, 0.500)
O (0.500, 0.248, 0.000)
O (0.500, 0.500, 0.237)
O (0.500, 0.500, 0.763)
O (0.500, 0.752, 0.000)
O (0.500, 0.762, 0.500)
O (0.745, 0.000, 0.500)
O (0.750, 0.250, 0.250)
O (0.750, 0.250, 0.750)
O (0.750, 0.750, 0.250)
O (0.750, 0.750, 0.750)
O (0.751, 0.000, 0.000)
O (0.752, 0.500, 0.000)
O (0.762, 0.500, 0.500)


Mg2NbFeO: relaxed, PBE with a Hubbard U.

Cell lengths 4.728, 4.728, 4.275 Å; angles 90.00, 90.00, 90.00 degrees
Element x y z (fractional)
Mg (0.000, 0.500, 0.000)
Mg (0.500, 0.000, 0.000)
Nb (0.000, 0.000, 0.500)
Fe (0.000, 0.000, 0.000)
O (0.500, 0.500, 0.500)


| no. | raw total energy (eV per atom) |
| --- | --- |
| 1 | -7.364 |
| 2 | -6.064 |
| 3 | -3.455 |